No. 1
Here is crystalline LaAl12Rh4 at its relaxed geometry from Alexandria. Energies are from PBE.

Values from the calculation:
N(E_F): 6.7 states/eV/cell

Structure (extended XYZ):
```
17
Lattice="-6.1108 3.4190 2.9633 3.6611 -3.8235 5.4580 4.6408 5.2368 -2.9751" Properties=species:S:1:pos:R:3 pbc="T T T"
Al 2.5407 1.9541 0.8329
Al -1.3942 5.6758 1.4309
Al -3.0678 2.4154 3.8003
Al -0.9129 2.8417 1.4348
Al 0.5945 0.1054 3.2562
Al 5.2589 2.4168 1.6459
Al 3.5853 -0.8436 4.0153
Al 1.5966 4.7268 2.1900
Al 3.1040 1.9906 4.0114
Al -0.3496 2.8782 4.6132
Al -0.2076 -0.0270 6.0135
Al 2.3987 4.8593 -0.5674
Rh 2.3204 2.6184 -1.4876
Rh 1.8305 -1.9118 2.7290
Rh -3.0554 1.7095 1.4816
Rh 1.0955 2.4161 2.7231
La 0.0000 0.0000 0.0000
```

---

No. 2
Here is crystalline LaAlRh at its relaxed geometry from Alexandria. Energies are from PBE.

Values from the calculation:
N(E_F): 3.0 states/eV/cell

Structure (extended XYZ):
```
3
Lattice="4.8312 0.0000 0.0000 2.4156 4.1839 0.0000 2.4156 1.3946 3.9446" Properties=species:S:1:pos:R:3 pbc="T T T"
La 7.2468 4.1839 2.9585
Rh 0.0000 0.0000 0.0000
Al 4.8312 2.7893 1.9723
```

---

No. 3
Here is crystalline LaAl2Rh at its relaxed geometry from Alexandria. Energies are from PBE.

Values from the calculation:
N(E_F): 4.5 states/eV/cell

Structure (extended XYZ):
```
4
Lattice="-1.2330 -2.9690 -2.7829 2.7196 -3.0280 -1.2308 -1.1992 -5.2035 2.8561" Properties=species:S:1:pos:R:3 pbc="T T T"
Rh 0.0718 -2.8001 -0.2894
La 0.2155 -8.4003 -0.8682
Al 0.3763 -5.1622 -1.1544
Al 1.2540 -6.4349 -3.4380
```

---

No. 4
Here is crystalline LaAl2Rh at its relaxed geometry from Alexandria. Energies are from PBE.

Values from the calculation:
N(E_F): 3.3 states/eV/cell

Structure (extended XYZ):
```
4
Lattice="9.3660 0.0290 0.0171 8.8192 3.1535 0.0171 8.8192 1.5434 2.7500" Properties=species:S:1:pos:R:3 pbc="T T T"
Al 7.0757 1.2383 0.7295
Al 0.2147 0.0376 0.0221
Rh 19.9073 3.4839 2.0525
La 13.3087 2.3291 1.3722
```

---

No. 5
Here is crystalline LaAl2Rh at its relaxed geometry from Alexandria. Energies are from PBE.

Values from the calculation:
N(E_F): 3.0 states/eV/cell

Structure (extended XYZ):
```
4
Lattice="-1.3853 3.8433 0.0315 -0.0993 -0.0621 3.2110 6.0189 2.1677 0.2273" Properties=species:S:1:pos:R:3 pbc="T T T"
Al 0.4774 2.3397 0.4621
Al 5.6158 2.0192 0.6131
La 2.8188 0.9987 2.1164
Rh 4.6010 3.8117 2.2245
```

---

No. 6
Here is crystalline LaAl2Rh at its relaxed geometry from Alexandria. Energies are from PBE.

Values from the calculation:
N(E_F): 1.2 states/eV/cell

Structure (extended XYZ):
```
4
Lattice="0.0000 3.3819 3.3819 3.3819 0.0000 3.3819 3.3819 3.3819 0.0000" Properties=species:S:1:pos:R:3 pbc="T T T"
La 3.3819 3.3819 3.3819
Rh 0.0000 0.0000 0.0000
Al 1.6909 1.6909 1.6909
Al 5.0728 5.0728 5.0728
```

---

No. 7
Here is crystalline LaAlRh2 at its relaxed geometry from Alexandria. Energies are from PBE.

Values from the calculation:
N(E_F): 1.2 states/eV/cell

Structure (extended XYZ):
```
4
Lattice="3.7091 0.0000 0.0000 0.0000 3.7091 0.0000 0.0000 0.0000 5.5829" Properties=species:S:1:pos:R:3 pbc="T T T"
La 1.8545 1.8545 4.4199
Rh 1.8545 1.8545 1.6936
Rh 0.0000 0.0000 5.4686
Al 0.0000 0.0000 2.3751
```

---

No. 8
Here is crystalline LaAlRh2 at its relaxed geometry from Alexandria. Energies are from PBE.

Values from the calculation:
N(E_F): 2.1 states/eV/cell

Structure (extended XYZ):
```
4
Lattice="-0.1915 -2.0796 -3.7015 3.4402 -2.0003 -1.4919 -0.3229 -5.5467 0.7294" Properties=species:S:1:pos:R:3 pbc="T T T"
Al 2.1944 -7.2200 -3.3479
La 0.7315 -2.4067 -1.1160
Rh -0.1659 -5.0837 0.4547
Rh 1.3058 -5.2763 -1.9572
```

---

Short version: E_form = -252, 305, -707, -125, -489, -421, -507, -795 meV per atom, in the order given.
Short version: energy = -0.3612, -0.3701, -0.4151, -0.3724, -0.3991, -0.3941, -0.4667, -0.4879 Ry/atom, in the order given.
Short version: mass density = 4.29, 5.60, 5.66, 6.14, 5.84, 6.35, 8.04, 7.80 Mg/m³, in the order given.